{
  "formula": "K2SrHPb",
  "functional": "GGA-PBE",
  "state": "relaxed",
  "lattice": [[5.2886, 0.0000, 0.0000], [0.0000, 5.2886, 0.0000], [0.0000, 0.0000, 5.6929]],
  "species": ["Pb", "Sr", "K", "K", "H"],
  "frac_coords": [[0.5000, 0.5000, 0.5000], [0.0000, 0.0000, 0.5000], [0.0000, 0.5000, 0.0000], [0.5000, 0.0000, 0.0000], [0.0000, 0.0000, 0.0000]],
  "e_tot_ev_per_atom": -2.40,
  "density_g_cm3": 3.90,
  "total_magnetization_mub_per_fu": 0.0
}